Material: Ho2Th3Ni2
Method: DFT, PBE
State: optimized geometry

VASP energy (eV per atom): -6.392
Crystal system: monoclinic
Fermi-level density of states (states/eV per cell): 6.92
Calculated density (g/cm³): 10.5
Energy of formation (eV/f.u.): -1.76
Space-group type: C2/m (12)

abc: 3.7046 6.1348 9.0119
angles: 69.23 78.14 72.43
Positions (direct):
1 Ho 0.1676 0.4700 0.1949
2 Ho 0.8324 0.5300 0.8051
3 Th 0.5000 0.0000 0.0000
4 Th 0.3823 0.8019 0.4335
5 Th 0.6177 0.1981 0.5665
6 Ni 0.1450 0.9138 0.7962
7 Ni 0.8550 0.0862 0.2038

Material: FeCoHW2
Method: DFT, PBE
State: optimized geometry

VASP energy (eV per atom): -8.823
Crystal system: tetragonal
E above lowest polymorph (kJ/mol of formula units): 3
Fermi-level density of states (states/eV per cell): 2.18
Calculated density (g/cm³): 14.6
Space-group type: P4/mmm (123)

abc: 3.8983 3.8983 3.6277
angles: 90.00 90.00 90.00
Positions (direct):
1 H 0.0000 0.0000 0.0000
2 Co 0.0000 0.0000 0.5000
3 Fe 0.5000 0.5000 0.5000
4 W 0.0000 0.5000 0.0000
5 W 0.5000 0.0000 0.0000